Record 1
! Al4FeAs, optimized geometry, DFT PBE; values from VASP
&SYSTEM
  ibrav = 0, nat = 6, ntyp = 3
/
ATOMIC_SPECIES
Al 26.98 Al.upf
Fe 55.84 Fe.upf
As 74.92 As.upf
CELL_PARAMETERS angstrom
0.000 3.676 3.676
3.676 0.000 3.676
3.676 3.676 0.000
ATOMIC_POSITIONS crystal
Al 0.376 0.376 0.376
Al 0.376 0.376 0.872
Al 0.376 0.872 0.376
Al 0.872 0.376 0.376
Fe 0.750 0.750 0.750
As 0.000 0.000 0.000
! Energy of formation = 1.83 eV per formula unit
! Symmetry = F-43m

***

Record 2
! AlFeAs4, optimized geometry, DFT PBE; values from VASP
&SYSTEM
  ibrav = 0, nat = 6, ntyp = 3
/
ATOMIC_SPECIES
Al 26.98 Al.upf
Fe 55.84 Fe.upf
As 74.92 As.upf
CELL_PARAMETERS angstrom
0.000 3.888 3.888
3.888 0.000 3.888
3.888 3.888 0.000
ATOMIC_POSITIONS crystal
Al 0.000 0.000 0.000
Fe 0.250 0.250 0.250
As 0.125 0.625 0.625
As 0.625 0.125 0.625
As 0.625 0.625 0.125
As 0.625 0.625 0.625
! Energy of formation = 3.93 eV per formula unit
! Symmetry = F-43m

***

Record 3
! Al2FeAs, optimized geometry, DFT PBE; values from VASP
&SYSTEM
  ibrav = 0, nat = 4, ntyp = 3
/
ATOMIC_SPECIES
Al 26.98 Al.upf
Fe 55.84 Fe.upf
As 74.92 As.upf
CELL_PARAMETERS angstrom
3.388 0.000 0.000
0.000 3.388 0.000
0.000 0.000 5.220
ATOMIC_POSITIONS crystal
Al 0.000 0.000 0.000
Al 0.500 0.500 0.281
Fe 0.500 0.500 0.799
As 0.000 0.000 0.518
! Energy of formation = 0.15 eV per formula unit
! Symmetry = P4mm

***

> Among the records above, which one has the highest energy of formation?

AlFeAs4

***

> Which formula does entry 1 have?

Al4FeAs